[1]
Ac3Pr3Cd2Co | GGA-PBE | optimized geometry

abc: 9.189 9.189 3.909
angles: 90.00 90.00 120.00
Sites, in units of the cell vectors:
Ac1 0.000 0.764 0.000
Ac2 0.236 0.236 0.000
Ac3 0.764 0.000 0.000
Pr1 0.000 0.407 0.500
Pr2 0.407 0.000 0.500
Pr3 0.593 0.593 0.500
Cd1 0.333 0.667 0.000
Cd2 0.667 0.333 0.000
Co1 0.000 0.000 0.500

Output
Final energy: -4.08 eV per atom
SG: P-62m (189)
E_form: -0.13 eV per atom


[2]
Ac6CdCoRh | GGA-PBE | optimized geometry

abc: 7.466 7.466 7.498
angles: 90.00 90.00 120.00
Sites, in units of the cell vectors:
Ac1 0.027 0.342 0.221
Ac2 0.027 0.685 0.779
Ac3 0.315 0.342 0.779
Ac4 0.315 0.973 0.221
Ac5 0.658 0.685 0.221
Ac6 0.658 0.973 0.779
Cd1 0.667 0.333 0.500
Co1 0.333 0.667 0.000
Rh1 0.000 0.000 0.000

Output
Final energy: -4.61 eV per atom
SG: P312 (149)
E_form: -0.17 eV per atom


[3]
AcCrCd2N4 | GGA-PBE | optimized geometry

abc: 5.943 5.943 5.943
angles: 126.67 126.67 78.79
Sites, in units of the cell vectors:
Ac1 0.000 0.000 0.000
Cr1 0.500 0.500 0.000
Cd1 0.250 0.750 0.500
Cd2 0.750 0.250 0.500
N1 0.192 0.584 0.000
N2 0.416 0.416 0.609
N3 0.584 0.192 0.000
N4 0.808 0.808 0.391

Output
Energy relative to the elements, uncorrected: -241 meV per atom
Final energy: -6.35 eV per atom
SG: I-42m (121)


Question: The highest final energy belongs to which entry?
Answer: Ac3Pr3Cd2Co


Question: Among the records above, which one has the highest final energy?
Answer: Ac3Pr3Cd2Co